(1)
# PBE ReAg2Cl, relaxed
data_ReAg2Cl
_cell_length_a 2.9969
_cell_length_b 4.9422
_cell_length_c 9.2516
_cell_angle_alpha 90.00
_cell_angle_beta 90.00
_cell_angle_gamma 90.00
_space_group_name_H-M_alt 'C m m m'
_space_group_IT_number 65
_space_group_name_Hall '-C 2 2'
loop_
_atom_site_label
_atom_site_fract_x
_atom_site_fract_y
_atom_site_fract_z
Re1 0.0000 0.0000 0.0000
Ag1 0.0000 0.5000 0.2558
Cl1 0.0000 0.0000 0.5000
# total magnetization = 0.0 μB per cell
# energy = -4.49 eV/atom
# density = 10.60 Mg/m³
# E_form (uncorrected) = 0.507 eV/atom
# offset from the most stable computed form = 117 meV/atom

(2)
# PBE AlCuP2, relaxed
data_AlCuP2
_cell_length_a 3.4781
_cell_length_b 4.9232
_cell_length_c 6.9969
_cell_angle_alpha 90.00
_cell_angle_beta 90.00
_cell_angle_gamma 90.00
_space_group_name_H-M_alt 'I m m m'
_space_group_IT_number 71
_space_group_name_Hall '-I 2 2'
loop_
_atom_site_label
_atom_site_fract_x
_atom_site_fract_y
_atom_site_fract_z
Al1 0.0000 0.0000 0.0000
Cu1 0.0000 0.0000 0.5000
P1 0.0000 0.5000 0.2405
# total magnetization = 0.0 μB per cell
# energy = -4.42 eV/atom
# density = 4.23 Mg/m³
# formation energy from the elements = 243 meV/atom

(3)
# PBE LiMnCo2, relaxed
data_LiMnCo2
_cell_length_a 2.4476
_cell_length_b 2.4476
_cell_length_c 7.7248
_cell_angle_alpha 90.00
_cell_angle_beta 90.00
_cell_angle_gamma 90.00
_space_group_name_H-M_alt 'P 4 m m'
_space_group_IT_number 99
_space_group_name_Hall 'P 4 -2'
loop_
_atom_site_label
_atom_site_fract_x
_atom_site_fract_y
_atom_site_fract_z
Li1 0.0000 0.0000 0.0000
Mn1 0.5000 0.5000 0.2840
Co1 0.0000 0.0000 0.5071
Co2 0.5000 0.5000 0.7345
# total magnetization = 3.6 μB per cell
# energy = -6.08 eV/atom
# density = 6.45 Mg/m³
# offset from the most stable computed form = 98 meV/atom
# formation energy from the elements = 245 meV/atom

(4)
# PBE NaZrAl, relaxed
data_NaZrAl
_cell_length_a 4.2511
_cell_length_b 3.7662
_cell_length_c 10.2957
_cell_angle_alpha 90.00
_cell_angle_beta 102.03
_cell_angle_gamma 90.00
_space_group_name_H-M_alt 'P 1 21 1'
_space_group_IT_number 4
_space_group_name_Hall 'P 2yb'
loop_
_atom_site_label
_atom_site_fract_x
_atom_site_fract_y
_atom_site_fract_z
Na1 0.1925 0.0000 0.3857
Zr1 0.4379 0.0065 0.8764
Al1 0.0454 0.0066 0.0902
# total magnetization = 0.0 μB per cell
# energy = -4.56 eV/atom
# density = 2.91 Mg/m³
# offset from the most stable computed form = 62 meV/atom
# formation energy from the elements = -28 meV/atom

(5)
# PBE Nd2HfO5, relaxed
data_Nd2HfO5
_cell_length_a 7.7004
_cell_length_b 3.8644
_cell_length_c 16.2971
_cell_angle_alpha 90.00
_cell_angle_beta 90.00
_cell_angle_gamma 90.00
_space_group_name_H-M_alt 'P n m a'
_space_group_IT_number 62
_space_group_name_Hall '-P 2ac 2n'
loop_
_atom_site_label
_atom_site_fract_x
_atom_site_fract_y
_atom_site_fract_z
Nd1 0.0949 0.2500 0.0877
Nd2 0.1351 0.2500 0.7384
Hf1 0.1219 0.2500 0.4297
O1 0.0830 0.7500 0.4628
O2 0.0916 0.7500 0.6521
O3 0.0992 0.7500 0.1761
O4 0.1503 0.7500 0.0014
O5 0.2073 0.7500 0.8330
# total magnetization = 0.0 μB per cell
# energy = -9.00 eV/atom
# density = 7.49 Mg/m³
# E_form (uncorrected) = -3.460 eV/atom

(6)
# PBE YCd2Br6, relaxed
data_YCd2Br6
_cell_length_a 7.1651
_cell_length_b 7.1651
_cell_length_c 22.5871
_cell_angle_alpha 90.00
_cell_angle_beta 90.00
_cell_angle_gamma 120.00
_space_group_name_H-M_alt 'R 3'
_space_group_IT_number 146
_space_group_name_Hall 'R 3'
loop_
_atom_site_label
_atom_site_fract_x
_atom_site_fract_y
_atom_site_fract_z
Y1 0.0000 0.0000 0.0000
Cd1 0.0000 0.0000 0.6556
Cd2 0.0000 0.0000 0.8276
Br1 0.0078 0.6547 0.3995
Br2 0.0300 0.3436 0.5888
# total magnetization = 2.3 μB per cell
# energy = -3.17 eV/atom
# density = 3.93 Mg/m³
# E_form (uncorrected) = -1.135 eV/atom

(7)
# PBE Ca2Cd2Ga, relaxed
data_Ca2Cd2Ga
_cell_length_a 4.0036
_cell_length_b 4.0036
_cell_length_c 18.1056
_cell_angle_alpha 90.00
_cell_angle_beta 90.00
_cell_angle_gamma 90.00
_space_group_name_H-M_alt 'I 4/m m m'
_space_group_IT_number 139
_space_group_name_Hall '-I 4 2'
loop_
_atom_site_label
_atom_site_fract_x
_atom_site_fract_y
_atom_site_fract_z
Ca1 0.0000 0.0000 0.0944
Cd1 0.0000 0.5000 0.2500
Ga1 0.0000 0.0000 0.5000
# total magnetization = 0.0 μB per cell
# energy = -1.93 eV/atom
# density = 4.29 Mg/m³
# offset from the most stable computed form = 149 meV/atom
# formation energy from the elements = -160 meV/atom

(8)
# PBE CuRe2Te, relaxed
data_CuRe2Te
_cell_length_a 3.1602
_cell_length_b 4.4716
_cell_length_c 9.2764
_cell_angle_alpha 90.00
_cell_angle_beta 90.00
_cell_angle_gamma 90.00
_space_group_name_H-M_alt 'I m m m'
_space_group_IT_number 71
_space_group_name_Hall '-I 2 2'
loop_
_atom_site_label
_atom_site_fract_x
_atom_site_fract_y
_atom_site_fract_z
Cu1 0.0000 0.0000 0.0000
Re1 0.0000 0.5000 0.2500
Te1 0.0000 0.0000 0.5000
# total magnetization = 0.0 μB per cell
# energy = -7.19 eV/atom
# density = 14.28 Mg/m³
# E_form (uncorrected) = 0.839 eV/atom